! PBE PuAlPb, optimized geometry; values from VASP
&SYSTEM
  ibrav = 0, nat = 3, ntyp = 3
/
ATOMIC_SPECIES
Pu 244.00 Pu.upf
Al 26.98 Al.upf
Pb 207.20 Pb.upf
CELL_PARAMETERS angstrom
5.0089 0.0000 0.0000
-2.5044 4.3378 0.0000
0.0000 0.0000 3.3910
ATOMIC_POSITIONS crystal
Pu 0.0000 0.0000 0.0000
Al 0.3333 0.6667 0.5000
Pb 0.6667 0.3333 0.5000
! - Energy: -7.313 eV per atom
! - Calculated formation energy: -0.052 eV per atom
! - N(E_F): 2.37 states/eV/atom
! - Offset from the most stable computed form: 0.123 eV/f.u.

=====

! PBE Pu2AlPb, optimized geometry; values from VASP
&SYSTEM
  ibrav = 0, nat = 4, ntyp = 3
/
ATOMIC_SPECIES
Pu 244.00 Pu.upf
Al 26.98 Al.upf
Pb 207.20 Pb.upf
CELL_PARAMETERS angstrom
1.6668 0.9623 10.7463
-1.6668 0.9623 10.7463
0.0000 -1.9247 10.7463
ATOMIC_POSITIONS crystal
Pu 0.2435 0.2435 0.2435
Pu 0.7565 0.7565 0.7565
Al 0.5000 0.5000 0.5000
Pb 0.0000 0.0000 0.0000
! - Energy: -8.962 eV per atom
! - Calculated formation energy: 0.067 eV per atom
! - N(E_F): 4.04 states/eV/atom

=====

! PBE PuScAlPb, optimized geometry; values from VASP
&SYSTEM
  ibrav = 0, nat = 4, ntyp = 4
/
ATOMIC_SPECIES
Pu 244.00 Pu.upf
Sc 44.96 Sc.upf
Al 26.98 Al.upf
Pb 207.20 Pb.upf
CELL_PARAMETERS angstrom
0.0000 3.6380 3.6380
3.6380 0.0000 3.6380
3.6380 3.6380 0.0000
ATOMIC_POSITIONS crystal
Pu 0.0000 0.0000 0.0000
Sc 0.5000 0.5000 0.5000
Al 0.7500 0.7500 0.7500
Pb 0.2500 0.2500 0.2500
! - Energy: -7.190 eV per atom
! - Calculated formation energy: -0.161 eV per atom
! - N(E_F): 2.32 states/eV/atom

=====

! PBE SmPuAlPb, optimized geometry; values from VASP
&SYSTEM
  ibrav = 0, nat = 4, ntyp = 4
/
ATOMIC_SPECIES
Sm 150.36 Sm.upf
Pu 244.00 Pu.upf
Al 26.98 Al.upf
Pb 207.20 Pb.upf
CELL_PARAMETERS angstrom
0.0000 3.7762 3.7762
3.7762 0.0000 3.7762
3.7762 3.7762 0.0000
ATOMIC_POSITIONS crystal
Sm 0.0000 0.0000 0.0000
Pu 0.5000 0.5000 0.5000
Al 0.7500 0.7500 0.7500
Pb 0.2500 0.2500 0.2500
! - Energy: -6.805 eV per atom
! - Calculated formation energy: -0.179 eV per atom
! - N(E_F): 2.62 states/eV/atom

=====

! PBE TbPuAlPb, optimized geometry; values from VASP
&SYSTEM
  ibrav = 0, nat = 4, ntyp = 4
/
ATOMIC_SPECIES
Tb 158.93 Tb.upf
Pu 244.00 Pu.upf
Al 26.98 Al.upf
Pb 207.20 Pb.upf
CELL_PARAMETERS angstrom
0.0000 3.7453 3.7453
3.7453 0.0000 3.7453
3.7453 3.7453 0.0000
ATOMIC_POSITIONS crystal
Tb 0.0000 0.0000 0.0000
Pu 0.5000 0.5000 0.5000
Al 0.2500 0.2500 0.2500
Pb 0.7500 0.7500 0.7500
! - Energy: -6.786 eV per atom
! - Calculated formation energy: -0.183 eV per atom
! - N(E_F): 2.53 states/eV/atom

=====

! PBE YPuAlPb, optimized geometry; values from VASP
&SYSTEM
  ibrav = 0, nat = 4, ntyp = 4
/
ATOMIC_SPECIES
Y 88.91 Y.upf
Pu 244.00 Pu.upf
Al 26.98 Al.upf
Pb 207.20 Pb.upf
CELL_PARAMETERS angstrom
0.0000 3.7433 3.7433
3.7433 0.0000 3.7433
3.7433 3.7433 0.0000
ATOMIC_POSITIONS crystal
Y 0.0000 0.0000 0.0000
Pu 0.5000 0.5000 0.5000
Al 0.7500 0.7500 0.7500
Pb 0.2500 0.2500 0.2500
! - Energy: -7.256 eV per atom
! - Calculated formation energy: -0.194 eV per atom
! - N(E_F): 2.51 states/eV/atom

=====

! PBE RbAlPb, optimized geometry; values from VASP
&SYSTEM
  ibrav = 0, nat = 6, ntyp = 3
/
ATOMIC_SPECIES
Rb 85.47 Rb.upf
Al 26.98 Al.upf
Pb 207.20 Pb.upf
CELL_PARAMETERS angstrom
6.0049 0.0000 0.0000
0.0000 4.8028 0.0000
-0.0034 0.0000 8.2661
ATOMIC_POSITIONS crystal
Rb 0.0014 0.2500 0.2540
Rb 0.9986 0.7500 0.7460
Al 0.4973 0.7500 0.4414
Al 0.5027 0.2500 0.5586
Pb 0.4968 0.2500 0.8922
Pb 0.5032 0.7500 0.1078
! - Energy: -2.753 eV per atom
! - Calculated formation energy: 0.053 eV per atom
! - N(E_F): 0.05 states/eV/atom

=====

! PBE RbAlPb, optimized geometry; values from VASP
&SYSTEM
  ibrav = 0, nat = 6, ntyp = 3
/
ATOMIC_SPECIES
Rb 85.47 Rb.upf
Al 26.98 Al.upf
Pb 207.20 Pb.upf
CELL_PARAMETERS angstrom
4.8057 0.0000 0.0000
-2.0932 6.3937 0.0000
-2.2029 -1.3458 7.1458
ATOMIC_POSITIONS crystal
Rb 0.0000 0.0000 0.0000
Rb 0.4574 0.5932 0.2894
Al 0.2362 0.0310 0.5605
Al 0.7772 0.1813 0.5123
Pb 0.1668 0.6081 0.6718
Pb 0.6547 0.4019 0.8557
! - Energy: -2.795 eV per atom
! - Calculated formation energy: 0.011 eV per atom
! - N(E_F): 0.00 states/eV/atom

=====

! PBE RbAlPb, optimized geometry; values from VASP
&SYSTEM
  ibrav = 0, nat = 6, ntyp = 3
/
ATOMIC_SPECIES
Rb 85.47 Rb.upf
Al 26.98 Al.upf
Pb 207.20 Pb.upf
CELL_PARAMETERS angstrom
4.7096 0.0000 0.0000
0.0000 4.7096 0.0000
0.0000 0.0000 8.7252
ATOMIC_POSITIONS crystal
Rb 0.2500 0.7500 0.0000
Rb 0.7500 0.2500 0.0000
Al 0.2500 0.2500 0.3462
Al 0.7500 0.7500 0.6538
Pb 0.2500 0.2500 0.6630
Pb 0.7500 0.7500 0.3370
! - Energy: -2.470 eV per atom
! - Calculated formation energy: 0.336 eV per atom
! - N(E_F): 0.71 states/eV/atom

=====

! PBE RbAlPb3, optimized geometry; values from VASP
&SYSTEM
  ibrav = 0, nat = 5, ntyp = 3
/
ATOMIC_SPECIES
Rb 85.47 Rb.upf
Al 26.98 Al.upf
Pb 207.20 Pb.upf
CELL_PARAMETERS angstrom
5.6786 0.0000 0.0000
0.0000 5.6786 0.0000
0.0000 0.0000 5.6786
ATOMIC_POSITIONS crystal
Rb 0.0000 0.0000 0.0000
Al 0.5000 0.5000 0.5000
Pb 0.0000 0.5000 0.5000
Pb 0.5000 0.0000 0.5000
Pb 0.5000 0.5000 0.0000
! - Energy: -3.003 eV per atom
! - Calculated formation energy: 0.164 eV per atom
! - N(E_F): 0.69 states/eV/atom
! - Offset from the most stable computed form: 0.000 eV/f.u.

=====

! PBE RbAlPb, optimized geometry; values from VASP
&SYSTEM
  ibrav = 0, nat = 12, ntyp = 3
/
ATOMIC_SPECIES
Rb 85.47 Rb.upf
Al 26.98 Al.upf
Pb 207.20 Pb.upf
CELL_PARAMETERS angstrom
8.9920 0.0000 0.0000
0.0000 5.1803 0.0000
0.0000 0.0000 8.2848
ATOMIC_POSITIONS crystal
Rb 0.0049 0.2500 0.1642
Rb 0.4951 0.7500 0.6642
Rb 0.5049 0.2500 0.3358
Rb 0.9951 0.7500 0.8358
Al 0.1602 0.7500 0.4097
Al 0.3398 0.2500 0.9097
Al 0.6602 0.7500 0.0903
Al 0.8398 0.2500 0.5903
Pb 0.1682 0.2500 0.5968
Pb 0.3318 0.7500 0.0968
Pb 0.6682 0.2500 0.9032
Pb 0.8318 0.7500 0.4032
! - Energy: -2.797 eV per atom
! - Calculated formation energy: 0.009 eV per atom
! - N(E_F): 0.08 states/eV/atom

=====

! PBE RbAlPb, optimized geometry; values from VASP
&SYSTEM
  ibrav = 0, nat = 6, ntyp = 3
/
ATOMIC_SPECIES
Rb 85.47 Rb.upf
Al 26.98 Al.upf
Pb 207.20 Pb.upf
CELL_PARAMETERS angstrom
5.2324 0.0000 0.0000
-2.6162 4.5314 0.0000
0.0000 0.0000 8.1857
ATOMIC_POSITIONS crystal
Rb 0.0000 0.0000 0.0000
Rb 0.0000 0.0000 0.5000
Al 0.3333 0.6667 0.3070
Al 0.6667 0.3333 0.8070
Pb 0.3333 0.6667 0.7067
Pb 0.6667 0.3333 0.2067
! - Energy: -2.670 eV per atom
! - Calculated formation energy: 0.137 eV per atom
! - N(E_F): 0.08 states/eV/atom

=====

> Which value of energy does entry 3 give?

-7.190 eV per atom

=====

> Among the records above, which one has the highest N(E_F)?

Pu2AlPb

=====

> What is the energy in the seventh record?

-2.753 eV per atom

=====

> Which of these has the highest calculated formation energy?

number 9